Record 1
10
Lattice="-3.113 3.113 4.396 3.113 -3.113 4.396 3.113 3.113 -4.396" Properties=species:S:1:pos:R:3 comment="Rb2BMoF6 (PBE+U, optimized geometry)" e_tot_ev_per_fu=-47.2 crystal_system=tetragonal magmom_total_mub_per_atom=0.300 pbc="T T T"
Rb 3.113 0.000 2.198
Rb 0.000 3.113 2.198
B 0.000 0.000 0.000
Mo 0.000 0.000 4.396
F 0.000 0.000 2.286
F 1.626 1.626 0.000
F 1.487 -1.487 4.396
F -1.487 1.487 4.396
F 1.487 1.487 4.396
F 0.000 0.000 6.506

=====

Record 2
5
Lattice="5.221 0.000 0.000 0.000 5.221 0.000 0.000 0.000 3.620" Properties=species:S:1:pos:R:3 comment="MgCoSe2F (PBE+U, optimized geometry)" e_tot_ev_per_fu=-19.0 crystal_system=tetragonal magmom_total_mub_per_atom=0.434 pbc="T T T"
Mg 0.000 0.000 0.000
Co 2.610 2.610 1.810
Se 0.000 2.610 0.000
Se 2.610 0.000 0.000
F 0.000 0.000 1.810